--- w ---
DFT (GGA-PBE) results for crystalline Cu2Cl at its relaxed geometry.

Summary:
space-group type: Cm (8)

a b c (Å): 3.986 3.986 8.770
angles (deg): 105.32 105.32 57.84
Element x y z (fractional)
Cu 0.000 0.000 0.000
Cu 0.104 0.104 0.314
Cu 0.380 0.380 0.123
Cu 0.733 0.733 0.192
Cl 0.221 0.221 0.844
Cl 0.752 0.752 0.471

--- x ---
DFT (GGA-PBE) results for crystalline Cu2Cl at its relaxed geometry.

Summary:
space-group type: P6_3/mmc (194)

a b c (Å): 5.627 5.627 7.945
angles (deg): 90.00 90.00 120.00
Element x y z (fractional)
Cu 0.000 0.000 0.000
Cu 0.000 0.000 0.500
Cu 0.149 0.297 0.250
Cu 0.149 0.851 0.250
Cu 0.297 0.149 0.750
Cu 0.703 0.851 0.250
Cu 0.851 0.149 0.750
Cu 0.851 0.703 0.750
Cl 0.333 0.667 0.053
Cl 0.333 0.667 0.447
Cl 0.667 0.333 0.553
Cl 0.667 0.333 0.947

Least stable = x

--- w ---
DFT (GGA-PBE) results for crystalline Cu2Cl at its relaxed geometry.

Summary:
space-group type: Cmcm (63)

a b c (Å): 5.962 5.962 5.645
angles (deg): 90.00 90.00 150.70
Element x y z (fractional)
Cu 0.122 0.878 0.750
Cu 0.212 0.788 0.250
Cu 0.788 0.212 0.750
Cu 0.878 0.122 0.250
Cl 0.450 0.550 0.750
Cl 0.550 0.450 0.250

--- x ---
DFT (GGA-PBE) results for crystalline Cu2Cl at its relaxed geometry.

Summary:
space-group type: Cmcm (63)

a b c (Å): 9.667 9.667 3.214
angles (deg): 90.00 90.00 158.98
Element x y z (fractional)
Cu 0.147 0.853 0.750
Cu 0.258 0.742 0.250
Cu 0.742 0.258 0.750
Cu 0.853 0.147 0.250
Cl 0.404 0.596 0.750
Cl 0.596 0.404 0.250

Least stable = w

--- w ---
DFT (GGA-PBE) results for crystalline Cu3Cl2 at its relaxed geometry.

Summary:
space-group type: P-3m1 (164)

a b c (Å): 3.287 3.287 8.644
angles (deg): 90.00 90.00 120.00
Element x y z (fractional)
Cu 0.000 0.000 0.000
Cu 0.333 0.667 0.406
Cu 0.667 0.333 0.594
Cl 0.333 0.667 0.813
Cl 0.667 0.333 0.187

--- x ---
DFT (GGA-PBE) results for crystalline Cu3Cl2 at its relaxed geometry.

Summary:
space-group type: Fdd2 (43)

a b c (Å): 6.393 5.857 7.670
angles (deg): 54.43 48.18 77.39
Element x y z (fractional)
Cu 0.000 0.000 0.000
Cu 0.250 0.250 0.250
Cu 0.346 0.399 0.462
Cu 0.399 0.346 0.792
Cu 0.458 0.788 0.851
Cu 0.788 0.458 0.904
Cl 0.122 0.778 0.392
Cl 0.542 0.858 0.472
Cl 0.778 0.122 0.708
Cl 0.858 0.542 0.128

Least stable = w

--- w ---
DFT (GGA-PBE) results for crystalline Dy2CuCl at its relaxed geometry.

Summary:
space-group type: R-3m (166)

a b c (Å): 7.254 7.254 7.254
angles (deg): 31.75 31.75 31.75
Element x y z (fractional)
Dy 0.242 0.242 0.242
Dy 0.758 0.758 0.758
Cu 0.500 0.500 0.500
Cl 0.000 0.000 0.000

--- x ---
DFT (GGA-PBE) results for crystalline Dy2CuCl at its relaxed geometry.

Summary:
space-group type: R3m (160)

a b c (Å): 7.748 7.748 7.748
angles (deg): 28.97 28.97 28.97
Element x y z (fractional)
Dy 0.000 0.000 0.000
Dy 0.190 0.190 0.190
Cu 0.594 0.594 0.594
Cl 0.764 0.764 0.764

Least stable = x

--- w ---
DFT (GGA-PBE) results for crystalline Eu2CuCl at its relaxed geometry.

Summary:
space-group type: R-3m (166)

a b c (Å): 8.002 8.002 8.002
angles (deg): 30.10 30.10 30.10
Element x y z (fractional)
Eu 0.243 0.243 0.243
Eu 0.757 0.757 0.757
Cu 0.500 0.500 0.500
Cl 0.000 0.000 0.000

--- x ---
DFT (GGA-PBE) results for crystalline Eu2CuCl at its relaxed geometry.

Summary:
space-group type: P4/mmm (123)

a b c (Å): 3.607 3.607 7.960
angles (deg): 90.00 90.00 90.00
Element x y z (fractional)
Eu 0.000 0.000 0.228
Eu 0.000 0.000 0.772
Cu 0.500 0.500 0.000
Cl 0.500 0.500 0.500

Least stable = x

--- w ---
DFT (GGA-PBE) results for crystalline CuClF at its relaxed geometry.

Summary:
space-group type: P-1 (2)

a b c (Å): 3.142 5.909 6.440
angles (deg): 105.47 90.07 105.28
Element x y z (fractional)
Cu 0.226 0.450 0.219
Cu 0.774 0.550 0.781
Cl 0.391 0.787 0.694
Cl 0.609 0.213 0.306
F 0.178 0.356 0.835
F 0.822 0.644 0.165

--- x ---
DFT (GGA-PBE) results for crystalline CuClF at its relaxed geometry.

Summary:
space-group type: I4mm (107)

a b c (Å): 4.436 4.436 4.436
angles (deg): 123.19 123.19 84.56
Element x y z (fractional)
Cu 0.000 0.000 0.000
Cl 0.320 0.320 0.000
F 0.730 0.730 0.000

Least stable = x

--- w ---
DFT (GGA-PBE) results for crystalline CuClF at its relaxed geometry.

Summary:
space-group type: Pmmn (59)

a b c (Å): 3.168 4.526 7.926
angles (deg): 90.00 90.00 90.00
Element x y z (fractional)
Cu 0.250 0.250 0.136
Cu 0.750 0.750 0.864
Cl 0.250 0.750 0.666
Cl 0.750 0.250 0.334
F 0.250 0.750 0.028
F 0.750 0.250 0.972

--- x ---
DFT (GGA-PBE) results for crystalline CuClF at its relaxed geometry.

Summary:
space-group type: P3m1 (156)

a b c (Å): 3.348 3.348 5.210
angles (deg): 90.00 90.00 120.00
Element x y z (fractional)
Cu 0.000 0.000 0.000
Cl 0.333 0.667 0.266
F 0.667 0.333 0.828

Least stable = x

--- w ---
DFT (GGA-PBE) results for crystalline CuClF3 at its relaxed geometry.

Summary:
space-group type: Pmn2_1 (31)

a b c (Å): 4.967 5.994 4.996
angles (deg): 90.00 90.00 90.00
Element x y z (fractional)
Cu 0.000 0.004 0.000
Cu 0.500 0.996 0.500
Cl 0.000 0.673 0.766
Cl 0.500 0.327 0.266
F 0.000 0.284 0.207
F 0.249 0.122 0.747
F 0.251 0.878 0.247
F 0.500 0.716 0.707
F 0.749 0.878 0.247
F 0.751 0.122 0.747

--- x ---
DFT (GGA-PBE) results for crystalline CuClF3 at its relaxed geometry.

Summary:
space-group type: Pm-3m (221)

a b c (Å): 3.998 3.998 3.998
angles (deg): 90.00 90.00 90.00
Element x y z (fractional)
Cu 0.000 0.000 0.000
Cl 0.500 0.500 0.500
F 0.000 0.000 0.500
F 0.000 0.500 0.000
F 0.500 0.000 0.000

Least stable = x